## Zr3HgN (PBE)

Data for Zr3HgN after structural relaxation.

Calculated values
ΔE_f (raw) in eV/atom: 0.124
Space group: P4mm, No. 99
DFT total energy in eV per atom: -6.730

Cell lengths 4.339, 4.339, 7.457 Å; angles 90.00, 90.00, 90.00 degrees
Fractional coordinates of all 5 atoms:
N: 0.500 0.500 0.631
Hg: 0.000 0.000 0.354
Zr: 0.000 0.000 0.960
Zr: 0.000 0.500 0.660
Zr: 0.500 0.000 0.660



## SbBrCl2 (PBE)

Data for SbBrCl2 after structural relaxation.

Calculated values
ΔE_f (raw) in eV/atom: -0.235
Space group: R-3m, No. 166
Distance to the lowest polymorph of the same formula in eV/atom: 0.5380
DFT total energy in eV per atom: -2.607

Cell lengths 6.563, 6.563, 6.563 Å; angles 40.63, 40.63, 40.63 degrees
Fractional coordinates of all 4 atoms:
Cl: 0.972 0.972 0.972
Cl: 0.528 0.528 0.528
Br: 0.750 0.750 0.750
Sb: 0.250 0.250 0.250



> What is the DFT total energy in the second record?

-2.607 eV per atom